Compound: K2NiP2O6
Source: Alexandria via LeMat-Bulk
Functional: GGA+U
Structure: optimized geometry

Cell lengths 5.5629, 5.5629, 6.3551 Å; angles 64.04, 64.04, 60.00 degrees
Element x y z (fractional)
K 0.7755 0.7755 0.6736
K 0.2245 0.2245 0.3264
Ni 0.0000 0.0000 0.0000
P 0.4330 0.4330 0.7009
P 0.5670 0.5670 0.2991
O 0.7460 0.7460 0.2259
O 0.2820 0.7460 0.2259
O 0.7460 0.2820 0.2259
O 0.2540 0.7180 0.7741
O 0.7180 0.2540 0.7741
O 0.2540 0.2540 0.7741

Summary:
Final energy = -6.093 eV/atom